(1)
# NbGaTeC2 GGA-PBE optimized geometry
# - SG: No. 123
# - Total magnetization: 0.0 μB/f.u.
# - Crystal system: tetragonal
# - ΔE_f (raw): 192 kJ per mole of atoms
# - Final energy: -0.1817 hartree per atom
data_NbGaTeC2
_chemical_formula_sum 'Nb1 Ga1 Te1 C2'
_cell_length_a 3.9796
_cell_length_b 3.9796
_cell_length_c 5.4532
_cell_angle_alpha 90.00
_cell_angle_beta 90.00
_cell_angle_gamma 90.00
_symmetry_space_group_name_H-M 'P 1'
_symmetry_Int_Tables_number 1
loop_
_symmetry_equiv_pos_as_xyz
'x,y,z'
loop_
_atom_site_label
_atom_site_type_symbol
_atom_site_fract_x
_atom_site_fract_y
_atom_site_fract_z
Nb1 Nb 0.0000 0.0000 0.0000
Ga1 Ga 0.0000 0.0000 0.5000
Te1 Te 0.5000 0.5000 0.0000
C1 C 0.0000 0.5000 0.5000
C2 C 0.5000 0.0000 0.5000

(2)
# Ti2NbGaC GGA-PBE optimized geometry
# - Energy above the lowest structure with this stoichiometry: 1716 meV per atom
# - SG: No. 123
# - Total magnetization: 0.0 μB/f.u.
# - Crystal system: tetragonal
# - Final energy: -0.2352 hartree per atom
data_Ti2NbGaC
_chemical_formula_sum 'Ti2 Nb1 Ga1 C1'
_cell_length_a 4.8570
_cell_length_b 4.8570
_cell_length_c 4.1489
_cell_angle_alpha 90.00
_cell_angle_beta 90.00
_cell_angle_gamma 90.00
_symmetry_space_group_name_H-M 'P 1'
_symmetry_Int_Tables_number 1
loop_
_symmetry_equiv_pos_as_xyz
'x,y,z'
loop_
_atom_site_label
_atom_site_type_symbol
_atom_site_fract_x
_atom_site_fract_y
_atom_site_fract_z
Ti1 Ti 0.0000 0.5000 0.0000
Ti2 Ti 0.5000 0.0000 0.0000
Nb1 Nb 0.0000 0.0000 0.0000
Ga1 Ga 0.5000 0.5000 0.5000
C1 C 0.0000 0.0000 0.5000

(3)
# Ti2NbGaC GGA-PBE optimized geometry
# - Energy above the lowest structure with this stoichiometry: 0 meV per atom
# - SG: No. 123
# - Total magnetization: 0.0 μB/f.u.
# - Crystal system: tetragonal
# - Final energy: -0.2982 hartree per atom
data_Ti2NbGaC
_chemical_formula_sum 'Ti2 Nb1 Ga1 C1'
_cell_length_a 4.1177
_cell_length_b 4.1177
_cell_length_c 4.3883
_cell_angle_alpha 90.00
_cell_angle_beta 90.00
_cell_angle_gamma 90.00
_symmetry_space_group_name_H-M 'P 1'
_symmetry_Int_Tables_number 1
loop_
_symmetry_equiv_pos_as_xyz
'x,y,z'
loop_
_atom_site_label
_atom_site_type_symbol
_atom_site_fract_x
_atom_site_fract_y
_atom_site_fract_z
Ti1 Ti 0.0000 0.5000 0.0000
Ti2 Ti 0.5000 0.0000 0.0000
Nb1 Nb 0.0000 0.0000 0.5000
Ga1 Ga 0.5000 0.5000 0.5000
C1 C 0.0000 0.0000 0.0000

Repeat the first record exactly.
# NbGaTeC2 GGA-PBE optimized geometry
# - SG: No. 123
# - Total magnetization: 0.0 μB/f.u.
# - Crystal system: tetragonal
# - ΔE_f (raw): 192 kJ per mole of atoms
# - Final energy: -0.1817 hartree per atom
data_NbGaTeC2
_chemical_formula_sum 'Nb1 Ga1 Te1 C2'
_cell_length_a 3.9796
_cell_length_b 3.9796
_cell_length_c 5.4532
_cell_angle_alpha 90.00
_cell_angle_beta 90.00
_cell_angle_gamma 90.00
_symmetry_space_group_name_H-M 'P 1'
_symmetry_Int_Tables_number 1
loop_
_symmetry_equiv_pos_as_xyz
'x,y,z'
loop_
_atom_site_label
_atom_site_type_symbol
_atom_site_fract_x
_atom_site_fract_y
_atom_site_fract_z
Nb1 Nb 0.0000 0.0000 0.0000
Ga1 Ga 0.0000 0.0000 0.5000
Te1 Te 0.5000 0.5000 0.0000
C1 C 0.0000 0.5000 0.5000
C2 C 0.5000 0.0000 0.5000